This record from Alexandria describes a PBEsol-optimized structure of CaGa2Sb2. The functional is meta-GGA SCAN.

a b c (Å): 5.8262 5.8262 5.8262
angles (deg): 126.36 126.36 79.30
Fractional coordinates of all 5 atoms:
Ca 0.0000 0.0000 0.0000
Ga 0.3623 0.3623 0.0000
Ga 0.6377 0.6377 0.0000
Sb 0.2500 0.7500 0.5000
Sb 0.7500 0.2500 0.5000

Calculated values
electronic total energy = -23.710 eV/atom
total magnetic moment = 0.00 μB/f.u.
crystal system = tetragonal
space-group type = I4/mmm, No. 139
formation energy (no corrections) = -1.7 eV per formula unit

***

This record from Alexandria describes a PBEsol-optimized structure of Ca11GaSb9. The functional is meta-GGA SCAN.

a b c (Å): 11.8719 11.8719 11.8719
angles (deg): 120.93 117.61 91.30
Fractional coordinates of all 42 atoms:
Ca 0.0117 0.6794 0.0114
Ca 0.0190 0.0190 0.0000
Ca 0.0222 0.2853 0.3692
Ca 0.1530 0.5290 0.2570
Ca 0.1681 0.1794 0.6677
Ca 0.2233 0.5702 0.7936
Ca 0.2720 0.8960 0.7430
Ca 0.2767 0.0702 0.3469
Ca 0.4105 0.5930 0.6394
Ca 0.4161 0.7853 0.2631
Ca 0.4536 0.0930 0.1825
Ca 0.5117 0.5003 0.3323
Ca 0.5190 0.5190 0.0000
Ca 0.5222 0.1530 0.7369
Ca 0.6530 0.3960 0.6240
Ca 0.6681 0.0003 0.9886
Ca 0.7233 0.9298 0.6531
Ca 0.7720 0.0290 0.3760
Ca 0.7767 0.4298 0.2064
Ca 0.9105 0.2711 0.8175
Ca 0.9161 0.6530 0.6308
Ca 0.9536 0.7711 0.3606
Ga 0.2328 0.2328 0.0000
Ga 0.7328 0.7328 0.0000
Sb 0.0124 0.0027 0.7133
Sb 0.0923 0.5923 0.5000
Sb 0.2018 0.8446 0.9994
Sb 0.2275 0.8741 0.4251
Sb 0.2298 0.4731 0.0148
Sb 0.2894 0.2991 0.2867
Sb 0.3453 0.3446 0.6428
Sb 0.4490 0.8024 0.5749
Sb 0.4582 0.2150 0.9852
Sb 0.5124 0.7991 0.0097
Sb 0.5923 0.0923 0.5000
Sb 0.7018 0.7024 0.3572
Sb 0.7275 0.3024 0.3534
Sb 0.7298 0.7150 0.7568
Sb 0.7894 0.5027 0.9903
Sb 0.8453 0.2024 0.0006
Sb 0.9490 0.3741 0.6466
Sb 0.9582 0.9731 0.2432

Calculated values
electronic total energy = -22.876 eV/atom
total magnetic moment = 0.00 μB/f.u.
crystal system = orthorhombic
space-group type = Iba2, No. 45
formation energy (no corrections) = -22.4 eV per formula unit

***

This record from Alexandria describes a PBEsol-optimized structure of CaGaSe3. The functional is meta-GGA SCAN.

a b c (Å): 5.3715 5.3715 5.3715
angles (deg): 90.00 90.00 90.00
Fractional coordinates of all 5 atoms:
Ca 0.0000 0.0000 0.0000
Ga 0.5000 0.5000 0.5000
Se 0.0000 0.0000 0.5000
Se 0.0000 0.5000 0.0000
Se 0.5000 0.0000 0.0000

Calculated values
electronic total energy = -17.342 eV/atom
total magnetic moment = 3.01 μB/f.u.
crystal system = cubic
space-group type = Pm-3m, No. 221
formation energy (no corrections) = -0.5 eV per formula unit

***

This record from Alexandria describes a PBEsol-optimized structure of CaGa2Se4. The functional is meta-GGA SCAN.

a b c (Å): 14.7628 12.2013 12.1764
angles (deg): 74.54 52.81 52.65
Fractional coordinates of all 56 atoms:
Ca 0.1230 0.1230 0.6270
Ca 0.1250 0.1250 0.1250
Ca 0.3730 0.3730 0.8770
Ca 0.3750 0.3750 0.3750
Ca 0.6250 0.6250 0.6250
Ca 0.6270 0.6270 0.1230
Ca 0.8750 0.8750 0.8750
Ca 0.8770 0.8770 0.3730
Ga 0.0286 0.4707 0.8615
Ga 0.1130 0.3858 0.3662
Ga 0.1385 0.8608 0.9714
Ga 0.1392 0.8615 0.4707
Ga 0.3650 0.6338 0.6142
Ga 0.3662 0.6350 0.1130
Ga 0.3858 0.1130 0.6350
Ga 0.4707 0.0286 0.1392
Ga 0.5293 0.9714 0.8608
Ga 0.6142 0.8870 0.3650
Ga 0.6338 0.3650 0.8870
Ga 0.6350 0.3662 0.3858
Ga 0.8608 0.1385 0.5293
Ga 0.8615 0.1392 0.0286
Ga 0.8870 0.6142 0.6338
Ga 0.9714 0.5293 0.1385
Se 0.0873 0.0908 0.4127
Se 0.0899 0.5871 0.4097
Se 0.0908 0.0873 0.9092
Se 0.0908 0.5873 0.9092
Se 0.1499 0.8474 0.6661
Se 0.1526 0.8501 0.1635
Se 0.1635 0.3339 0.1526
Se 0.1789 0.3182 0.6489
Se 0.3182 0.1789 0.3541
Se 0.3339 0.1635 0.8501
Se 0.3511 0.6459 0.8211
Se 0.3541 0.6489 0.3182
Se 0.4097 0.4133 0.0899
Se 0.4133 0.4097 0.5871
Se 0.4127 0.9092 0.0873
Se 0.4129 0.9101 0.5867
Se 0.5871 0.0899 0.4133
Se 0.5873 0.0908 0.9127
Se 0.5867 0.5903 0.4129
Se 0.5903 0.5867 0.9101
Se 0.6459 0.3511 0.6818
Se 0.6489 0.3541 0.1789
Se 0.6661 0.8365 0.1499
Se 0.6818 0.8211 0.6459
Se 0.8211 0.6818 0.3511
Se 0.8365 0.6661 0.8474
Se 0.8474 0.1499 0.8365
Se 0.8501 0.1526 0.3339
Se 0.9092 0.4127 0.0908
Se 0.9092 0.9127 0.0908
Se 0.9101 0.4129 0.5903
Se 0.9127 0.9092 0.5873

Calculated values
electronic total energy = -18.644 eV/atom
total magnetic moment = 0.00 μB/f.u.
crystal system = orthorhombic
space-group type = Fddd, No. 70
formation energy (no corrections) = -7.8 eV per formula unit

***

This record from Alexandria describes a PBEsol-optimized structure of CaY2GaSe. The functional is meta-GGA SCAN.

a b c (Å): 5.2705 5.2705 5.2507
angles (deg): 90.00 90.00 90.00
Fractional coordinates of all 5 atoms:
Ca 0.0000 0.0000 0.0000
Y 0.0000 0.5000 0.5000
Y 0.5000 0.0000 0.5000
Ga 0.5000 0.5000 0.0000
Se 0.0000 0.0000 0.5000

Calculated values
electronic total energy = -20.996 eV/atom
total magnetic moment = 0.00 μB/f.u.
crystal system = tetragonal
space-group type = P4/mmm, No. 123
formation energy (no corrections) = -3.2 eV per formula unit

***

This record from Alexandria describes a PBEsol-optimized structure of Ca2GaSn. The functional is meta-GGA SCAN.

a b c (Å): 5.2440 5.2440 5.2440
angles (deg): 60.00 60.00 60.00
Fractional coordinates of all 4 atoms:
Ca 0.2500 0.2500 0.2500
Ca 0.7500 0.7500 0.7500
Ga 0.0000 0.0000 0.0000
Sn 0.5000 0.5000 0.5000

Calculated values
electronic total energy = -18.491 eV/atom
E_form = -0.59 eV per atom
total magnetic moment = 0.00 μB/f.u.
distance to the lowest polymorph of the same formula = 0.0758 eV/atom
crystal system = cubic
space-group type = Fm-3m, No. 225

***

Question: Number 2 is which compound?
Answer: Ca11GaSb9

***

Question: Among the records above, which one has the lowest electronic total energy?
Answer: CaGa2Sb2

***

What did the second record say?
This record from Alexandria describes a PBEsol-optimized structure of Ca11GaSb9. The functional is meta-GGA SCAN.

a b c (Å): 11.8719 11.8719 11.8719
angles (deg): 120.93 117.61 91.30
Fractional coordinates of all 42 atoms:
Ca 0.0117 0.6794 0.0114
Ca 0.0190 0.0190 0.0000
Ca 0.0222 0.2853 0.3692
Ca 0.1530 0.5290 0.2570
Ca 0.1681 0.1794 0.6677
Ca 0.2233 0.5702 0.7936
Ca 0.2720 0.8960 0.7430
Ca 0.2767 0.0702 0.3469
Ca 0.4105 0.5930 0.6394
Ca 0.4161 0.7853 0.2631
Ca 0.4536 0.0930 0.1825
Ca 0.5117 0.5003 0.3323
Ca 0.5190 0.5190 0.0000
Ca 0.5222 0.1530 0.7369
Ca 0.6530 0.3960 0.6240
Ca 0.6681 0.0003 0.9886
Ca 0.7233 0.9298 0.6531
Ca 0.7720 0.0290 0.3760
Ca 0.7767 0.4298 0.2064
Ca 0.9105 0.2711 0.8175
Ca 0.9161 0.6530 0.6308
Ca 0.9536 0.7711 0.3606
Ga 0.2328 0.2328 0.0000
Ga 0.7328 0.7328 0.0000
Sb 0.0124 0.0027 0.7133
Sb 0.0923 0.5923 0.5000
Sb 0.2018 0.8446 0.9994
Sb 0.2275 0.8741 0.4251
Sb 0.2298 0.4731 0.0148
Sb 0.2894 0.2991 0.2867
Sb 0.3453 0.3446 0.6428
Sb 0.4490 0.8024 0.5749
Sb 0.4582 0.2150 0.9852
Sb 0.5124 0.7991 0.0097
Sb 0.5923 0.0923 0.5000
Sb 0.7018 0.7024 0.3572
Sb 0.7275 0.3024 0.3534
Sb 0.7298 0.7150 0.7568
Sb 0.7894 0.5027 0.9903
Sb 0.8453 0.2024 0.0006
Sb 0.9490 0.3741 0.6466
Sb 0.9582 0.9731 0.2432

Calculated values
electronic total energy = -22.876 eV/atom
total magnetic moment = 0.00 μB/f.u.
crystal system = orthorhombic
space-group type = Iba2, No. 45
formation energy (no corrections) = -22.4 eV per formula unit